An optimized crystal structure of AcYCu, computed with GGA-PBE.

Values from the calculation:
M_tot, μB/atom: 0.0035
E_form, eV/atom: 0.81
V, Å³/atom: 31.111
E, eV/cell: -47.42

a = 7.2006 Å, b = 7.2006 Å, c = 7.2006 Å
α = 90.00°, β = 90.00°, γ = 90.00°
With the nearest neighbours (Å) after each atom.
Space group F-43m (No. 216)
One atom of each set of equivalent atoms:
Ac  0.0000  0.0000  0.0000  4 Cu 3.12, 4 Y 3.12
Y  0.2500  0.2500  0.2500  4 Ac 3.12
Cu  0.2500  0.2500  0.7500  4 Ac 3.12

An optimized crystal structure of TbHoTeC, computed with GGA-PBE.

Values from the calculation:
M_tot, μB/atom: 0.0007
V, Å³/atom: 22.320
E, eV/cell: -50.10

a = 3.8325 Å, b = 3.8325 Å, c = 14.0376 Å
α = 90.00°, β = 90.00°, γ = 120.00°
With the nearest neighbours (Å) after each atom.
Space group P6_3mc (No. 186)
One atom of each set of equivalent atoms:
Tb  0.3333  0.6667  0.0000  3 C 2.58
Ho  0.3333  0.6667  0.6869  3 C 2.57
Te  0.3333  0.6667  0.3421  3 Ho 3.11, 3 Tb 3.13
C  0.0000  0.0000  0.0943  3 Ho 2.57, 3 Tb 2.58

An optimized crystal structure of Er2I3, computed with GGA-PBE.

Values from the calculation:
M_tot, μB/atom: 0.2470
V, Å³/atom: 33.517
E, eV/cell: -105.68

a = 7.1005 Å, b = 7.1005 Å, c = 23.0288 Å
α = 90.00°, β = 90.00°, γ = 120.00°
With the nearest neighbours (Å) after each atom.
Space group R-3c (No. 167, hexagonal axes)
One atom of each set of equivalent atoms:
Er  0.0000  0.0000  0.1712  6 I 3.05-3.08
I  0.0000  0.3445  0.2500  4 Er 3.05-3.08

An optimized crystal structure of SmCo, computed with GGA-PBE.

Values from the calculation:
M_tot, μB/atom: 0.0691
E_form, eV/atom: 0.32
V, Å³/atom: 21.291
E, eV/cell: -11.17

a = 3.6725 Å, b = 3.6725 Å, c = 3.6458 Å
α = 90.00°, β = 90.00°, γ = 120.00°
With the nearest neighbours (Å) after each atom.
Space group P-6m2 (No. 187)
One atom of each set of equivalent atoms:
Sm  0.0000  0.0000  0.0000  6 Co 2.80
Co  0.3333  0.6667  0.5000  6 Sm 2.80

An optimized crystal structure of Ge7Ir3, computed with GGA-PBE.

Values from the calculation:
M_tot, μB/atom: 0.0008
V, Å³/atom: 16.944
E, eV/cell: -246.32

a = 8.7839 Å, b = 8.7839 Å, c = 8.7839 Å
α = 90.00°, β = 90.00°, γ = 90.00°
With the nearest neighbours (Å) after each atom.
Space group Im-3m (No. 229)
One atom of each set of equivalent atoms:
Ge  0.0000  0.2500  0.5000  4 Ir 2.61
Ge  0.1674  0.1674  0.1674  1 Ge 2.51, 3 Ir 2.57
Ir  0.0000  0.0000  0.3398  8 Ge 2.57-2.61, 1 Ir 2.81

An optimized crystal structure of YHoPb4, computed with GGA-PBE.

Values from the calculation:
M_tot, μB/atom: 0.0012
V, Å³/atom: 28.303
E, eV/cell: -56.18

a = 4.5002 Å, b = 4.5616 Å, c = 16.5447 Å
α = 90.00°, β = 90.00°, γ = 90.00°
With the nearest neighbours (Å) after each atom.
Space group Amm2 (No. 38)
One atom of each set of equivalent atoms:
Y  0.0000  0.0000  0.0000  10 Pb 3.23-3.55
Ho  0.5000  0.0000  0.8098  10 Pb 3.23-3.54
Pb  0.0000  0.0000  0.3355  2 Pb 3.20, 4 Ho 3.23, 2 Y 3.55
Pb  0.0000  0.0000  0.6546  4 Pb 3.20, 2 Ho 3.41, 2 Y 3.43
Pb  0.5000  0.0000  0.1564  4 Pb 3.20, 2 Ho 3.41, 2 Y 3.43
Pb  0.5000  0.0000  0.4734  2 Pb 3.20, 4 Y 3.23, 2 Ho 3.54

An optimized crystal structure of GaFeNi, computed with GGA-PBE.

Values from the calculation:
M_tot, μB/atom: 0.8577
V, Å³/atom: 12.166
E, eV/cell: -69.99

a = 5.0111 Å, b = 3.9209 Å, c = 7.4306 Å
α = 90.00°, β = 90.00°, γ = 90.00°
With the nearest neighbours (Å) after each atom.
Space group Pnma (No. 62)
One atom of each set of equivalent atoms:
Ga  0.1889  0.2500  0.0969  5 Ni 2.43-2.58, 5 Fe 2.54-2.64
Fe  0.0506  0.2500  0.7562  2 Fe 2.51, 5 Ni 2.52-2.71, 5 Ga 2.54-2.64
Ni  0.1754  0.2500  0.4278  5 Ga 2.43-2.58, 5 Fe 2.52-2.71

An optimized crystal structure of Ho3Zn3Cu2Ir, computed with GGA-PBE.

Values from the calculation:
M_tot, μB/atom: 0.0001
E_form, eV/atom: -0.42
V, Å³/atom: 18.881
E, eV/cell: -37.63

a = 7.0280 Å, b = 7.0280 Å, c = 3.9725 Å
α = 90.00°, β = 90.00°, γ = 120.00°
With the nearest neighbours (Å) after each atom.
Space group P-62m (No. 189)
One atom of each set of equivalent atoms:
Ho  0.0000  0.5953  0.0000  1 Ir 2.84, 4 Cu 2.92, 6 Zn 3.15-3.18
Zn  0.0000  0.2480  0.5000  2 Ir 2.64, 2 Cu 2.69
Cu  0.3333  0.6667  0.5000  3 Zn 2.69, 6 Ho 2.92
Ir  0.0000  0.0000  0.0000  6 Zn 2.64, 3 Ho 2.84